[1]
# DyWBrO4 (SCAN, single point on PBEsol structure)
data_DyWBrO4
_cell_length_a 6.890
_cell_length_b 7.238
_cell_length_c 10.843
_cell_angle_alpha 74.33
_cell_angle_beta 71.88
_cell_angle_gamma 85.41
_symmetry_space_group_name_H-M 'P -1'
_symmetry_Int_Tables_number 2
loop_
_symmetry_equiv_pos_as_xyz
'x,y,z'
'-x,-y,-z'
loop_
_atom_site_label
_atom_site_type_symbol
_atom_site_fract_x
_atom_site_fract_y
_atom_site_fract_z
_atom_site_occupancy
Dy1 Dy 0.072 0.104 0.269 1
Dy2 Dy 0.391 0.665 0.234 1
W1 W 0.133 0.413 0.623 1
W2 W 0.407 0.814 0.868 1
Br1 Br 0.211 0.275 0.984 1
Br2 Br 0.254 0.028 0.484 1
O1 O 0.031 0.605 0.696 1
O2 O 0.053 0.785 0.293 1
O3 O 0.204 0.883 0.797 1
O4 O 0.206 0.504 0.443 1
O5 O 0.301 0.736 0.045 1
O6 O 0.362 0.348 0.666 1
O7 O 0.410 0.989 0.189 1
O8 O 0.450 0.373 0.199 1
# Magnetic moment in μB/f.u.: 0.0
# Formation energy (no corrections) in eV/atom: -2.7002
# Uncorrected energy in eV per formula unit: -180.77


[2]
# Be2NbBiPd (SCAN, single point on PBEsol structure)
data_Be2NbBiPd
_cell_length_a 4.421
_cell_length_b 4.421
_cell_length_c 5.305
_cell_angle_alpha 90.00
_cell_angle_beta 90.00
_cell_angle_gamma 90.00
_symmetry_space_group_name_H-M 'P 4/m m m'
_symmetry_Int_Tables_number 123
_symmetry_space_group_name_Hall '-P 4 2'
loop_
_atom_site_label
_atom_site_type_symbol
_atom_site_fract_x
_atom_site_fract_y
_atom_site_fract_z
_atom_site_occupancy
Be1 Be 0.000 0.500 0.000 1
Nb1 Nb 0.000 0.000 0.500 1
Bi1 Bi 0.000 0.000 0.000 1
Pd1 Pd 0.500 0.500 0.500 1
# Magnetic moment in μB/f.u.: 1.5
# Calculated formation energy in eV per formula unit: 8.09
# Uncorrected energy in eV per formula unit: -145.10


[3]
# V3Co20B6 (SCAN, single point on PBEsol structure)
data_V3Co20B6
_cell_length_a 10.261
_cell_length_b 10.261
_cell_length_c 10.261
_cell_angle_alpha 90.00
_cell_angle_beta 90.00
_cell_angle_gamma 90.00
_symmetry_space_group_name_H-M 'F m -3 m'
_symmetry_Int_Tables_number 225
_symmetry_space_group_name_Hall '-F 4 2 3'
loop_
_atom_site_label
_atom_site_type_symbol
_atom_site_fract_x
_atom_site_fract_y
_atom_site_fract_z
_atom_site_occupancy
V1 V 0.000 0.000 0.000 1
V2 V 0.250 0.250 0.250 1
Co1 Co 0.000 0.170 0.170 1
Co2 Co 0.120 0.120 0.380 1
B1 B 0.000 0.000 0.274 1
# Magnetic moment in μB/f.u.: 18.4
# Calculated formation energy in eV per formula unit: -5.65
# Uncorrected energy in eV per formula unit: -448.77


[4]
# Ta2AlMo (SCAN, single point on PBEsol structure)
data_Ta2AlMo
_cell_length_a 2.780
_cell_length_b 4.189
_cell_length_c 5.700
_cell_angle_alpha 90.00
_cell_angle_beta 90.00
_cell_angle_gamma 90.00
_symmetry_space_group_name_H-M 'P m m 2'
_symmetry_Int_Tables_number 25
loop_
_symmetry_equiv_pos_as_xyz
'x,y,z'
'-x,-y,z'
'-x,y,z'
'x,-y,z'
loop_
_atom_site_label
_atom_site_type_symbol
_atom_site_fract_x
_atom_site_fract_y
_atom_site_fract_z
_atom_site_occupancy
Ta1 Ta 0.000 0.000 0.000 1
Ta2 Ta 0.500 0.500 0.266 1
Al1 Al 0.000 0.000 0.508 1
Mo1 Mo 0.500 0.500 0.744 1
# Magnetic moment in μB/f.u.: 0.0
# Calculated formation energy in eV per formula unit: 0.02
# Uncorrected energy in eV per formula unit: -175.78


[5]
# YBe3Os (SCAN, single point on PBEsol structure)
data_YBe3Os
_cell_length_a 4.239
_cell_length_b 4.239
_cell_length_c 4.239
_cell_angle_alpha 90.00
_cell_angle_beta 90.00
_cell_angle_gamma 90.00
_symmetry_space_group_name_H-M 'P m -3 m'
_symmetry_Int_Tables_number 221
_symmetry_space_group_name_Hall '-P 4 2 3'
loop_
_atom_site_label
_atom_site_type_symbol
_atom_site_fract_x
_atom_site_fract_y
_atom_site_fract_z
_atom_site_occupancy
Y1 Y 0.000 0.000 0.000 1
Be1 Be 0.000 0.500 0.500 1
Os1 Os 0.500 0.500 0.500 1
# Magnetic moment in μB/f.u.: 0.0
# Calculated formation energy in eV per formula unit: -0.86
# Uncorrected energy in eV per formula unit: -113.64


[6]
# SrSb (SCAN, single point on PBEsol structure)
data_SrSb
_cell_length_a 4.1509
_cell_length_b 4.1509
_cell_length_c 4.6677
_cell_angle_alpha 90.00
_cell_angle_beta 90.00
_cell_angle_gamma 120.00
_symmetry_space_group_name_H-M 'P -6 m 2'
_symmetry_Int_Tables_number 187
_symmetry_space_group_name_Hall 'P -6 2'
loop_
_atom_site_label
_atom_site_type_symbol
_atom_site_fract_x
_atom_site_fract_y
_atom_site_fract_z
_atom_site_occupancy
Sr1 Sr 0.0000 0.0000 0.0000 1
Sb1 Sb 0.6667 0.3333 0.5000 1
# Magnetic moment in μB/f.u.: 0.0
# Formation energy (no corrections) in eV/atom: -0.7300
# Uncorrected energy in eV per formula unit: -61.00


[7]
# BPtOF2 (SCAN, single point on PBEsol structure)
data_BPtOF2
_cell_length_a 4.416
_cell_length_b 4.416
_cell_length_c 2.601
_cell_angle_alpha 90.00
_cell_angle_beta 90.00
_cell_angle_gamma 90.00
_symmetry_space_group_name_H-M 'P 4/m m m'
_symmetry_Int_Tables_number 123
_symmetry_space_group_name_Hall '-P 4 2'
loop_
_atom_site_label
_atom_site_type_symbol
_atom_site_fract_x
_atom_site_fract_y
_atom_site_fract_z
_atom_site_occupancy
B1 B 0.000 0.000 0.000 1
Pt1 Pt 0.500 0.500 0.500 1
O1 O 0.000 0.000 0.500 1
F1 F 0.000 0.500 0.000 1
# Magnetic moment in μB/f.u.: 1.1
# Formation energy (no corrections) in eV/atom: -0.8707
# Energy above the lowest structure with this stoichiometry in meV/atom: 0
# Uncorrected energy in eV per formula unit: -95.29


[8]
# Y3TcCl (SCAN, single point on PBEsol structure)
data_Y3TcCl
_cell_length_a 4.966
_cell_length_b 4.966
_cell_length_c 4.966
_cell_angle_alpha 90.00
_cell_angle_beta 90.00
_cell_angle_gamma 90.00
_symmetry_space_group_name_H-M 'P m -3 m'
_symmetry_Int_Tables_number 221
_symmetry_space_group_name_Hall '-P 4 2 3'
loop_
_atom_site_label
_atom_site_type_symbol
_atom_site_fract_x
_atom_site_fract_y
_atom_site_fract_z
_atom_site_occupancy
Y1 Y 0.000 0.000 0.500 1
Tc1 Tc 0.500 0.500 0.500 1
Cl1 Cl 0.000 0.000 0.000 1
# Magnetic moment in μB/f.u.: 2.1
# Formation energy (no corrections) in eV/atom: -0.0274
# Uncorrected energy in eV per formula unit: -126.70


[9]
# Cd2TcSO (SCAN, single point on PBEsol structure)
data_Cd2TcSO
_cell_length_a 4.405
_cell_length_b 4.405
_cell_length_c 4.328
_cell_angle_alpha 90.00
_cell_angle_beta 90.00
_cell_angle_gamma 90.00
_symmetry_space_group_name_H-M 'P 4/m m m'
_symmetry_Int_Tables_number 123
_symmetry_space_group_name_Hall '-P 4 2'
loop_
_atom_site_label
_atom_site_type_symbol
_atom_site_fract_x
_atom_site_fract_y
_atom_site_fract_z
_atom_site_occupancy
Cd1 Cd 0.000 0.500 0.000 1
Tc1 Tc 0.000 0.000 0.500 1
S1 S 0.500 0.500 0.500 1
O1 O 0.500 0.500 0.000 1
# Magnetic moment in μB/f.u.: 2.8
# Formation energy (no corrections) in eV/atom: 0.5827
# Uncorrected energy in eV per formula unit: -108.83


[10]
# In3Pb (SCAN, single point on PBEsol structure)
data_In3Pb
_cell_length_a 6.010
_cell_length_b 6.010
_cell_length_c 6.010
_cell_angle_alpha 90.00
_cell_angle_beta 90.00
_cell_angle_gamma 90.00
_symmetry_space_group_name_H-M 'P m -3 n'
_symmetry_Int_Tables_number 223
_symmetry_space_group_name_Hall '-P 4n 2 3'
loop_
_atom_site_label
_atom_site_type_symbol
_atom_site_fract_x
_atom_site_fract_y
_atom_site_fract_z
_atom_site_occupancy
In1 In 0.000 0.250 0.500 1
Pb1 Pb 0.000 0.000 0.000 1
# Magnetic moment in μB/f.u.: 0.0
# Calculated formation energy in eV per formula unit: 0.36
# Uncorrected energy in eV per formula unit: -175.58


[11]
# Ho5Rh3 (SCAN, single point on PBEsol structure)
data_Ho5Rh3
_cell_length_a 8.0813
_cell_length_b 8.0813
_cell_length_c 6.1394
_cell_angle_alpha 90.00
_cell_angle_beta 90.00
_cell_angle_gamma 120.00
_symmetry_space_group_name_H-M 'P 63/m c m'
_symmetry_Int_Tables_number 193
_symmetry_space_group_name_Hall '-P 6c 2'
loop_
_atom_site_label
_atom_site_type_symbol
_atom_site_fract_x
_atom_site_fract_y
_atom_site_fract_z
_atom_site_occupancy
Ho1 Ho 0.0000 0.2486 0.2500 1
Ho2 Ho 0.3333 0.6667 0.0000 1
Rh1 Rh 0.0000 0.3984 0.7500 1
# Magnetic moment in μB/f.u.: 0.0
# Calculated formation energy in eV per formula unit: -6.91
# Uncorrected energy in eV per formula unit: -353.16


[12]
# LaSe3S (SCAN, single point on PBEsol structure)
data_LaSe3S
_cell_length_a 5.730
_cell_length_b 5.730
_cell_length_c 5.730
_cell_angle_alpha 90.00
_cell_angle_beta 90.00
_cell_angle_gamma 90.00
_symmetry_space_group_name_H-M 'P m -3 m'
_symmetry_Int_Tables_number 221
_symmetry_space_group_name_Hall '-P 4 2 3'
loop_
_atom_site_label
_atom_site_type_symbol
_atom_site_fract_x
_atom_site_fract_y
_atom_site_fract_z
_atom_site_occupancy
La1 La 0.000 0.000 0.000 1
Se1 Se 0.000 0.000 0.500 1
S1 S 0.500 0.500 0.500 1
# Magnetic moment in μB/f.u.: 5.0
# Formation energy (no corrections) in eV/atom: 0.0764
# Uncorrected energy in eV per formula unit: -112.59


Repeat the seventh record exactly.
# BPtOF2 (SCAN, single point on PBEsol structure)
data_BPtOF2
_cell_length_a 4.416
_cell_length_b 4.416
_cell_length_c 2.601
_cell_angle_alpha 90.00
_cell_angle_beta 90.00
_cell_angle_gamma 90.00
_symmetry_space_group_name_H-M 'P 4/m m m'
_symmetry_Int_Tables_number 123
_symmetry_space_group_name_Hall '-P 4 2'
loop_
_atom_site_label
_atom_site_type_symbol
_atom_site_fract_x
_atom_site_fract_y
_atom_site_fract_z
_atom_site_occupancy
B1 B 0.000 0.000 0.000 1
Pt1 Pt 0.500 0.500 0.500 1
O1 O 0.000 0.000 0.500 1
F1 F 0.000 0.500 0.000 1
# Magnetic moment in μB/f.u.: 1.1
# Formation energy (no corrections) in eV/atom: -0.8707
# Energy above the lowest structure with this stoichiometry in meV/atom: 0
# Uncorrected energy in eV per formula unit: -95.29